# NdSm2Tc | Alexandria | PBE | optimized geometry
data_NdSm2Tc
_symmetry_space_group_name_H-M 'P 1'
_symmetry_Int_Tables_number 1
_symmetry_space_group_name_Hall 'P 1'
_cell_length_a 6.4619
_cell_length_b 6.4619
_cell_length_c 9.4292
_cell_angle_alpha 90.00
_cell_angle_beta 90.00
_cell_angle_gamma 143.99
loop_
_atom_site_label
_atom_site_type_symbol
_atom_site_fract_x
_atom_site_fract_y
_atom_site_fract_z
Nd1 Nd 0.0748 0.9252 0.7500
Nd2 Nd 0.9252 0.0748 0.2500
Sm1 Sm 0.3546 0.6454 0.5694
Sm2 Sm 0.3546 0.6454 0.9306
Sm3 Sm 0.6454 0.3546 0.0694
Sm4 Sm 0.6454 0.3546 0.4306
Tc1 Tc 0.2609 0.7391 0.2500
Tc2 Tc 0.7391 0.2609 0.7500
# mass density = 7.8 g/cm3
# E above lowest polymorph = 0 meV per atom
# formation energy from the elements = -5 meV/atom

***

# Nd3SmTc | Alexandria | PBE | optimized geometry
data_Nd3SmTc
_symmetry_space_group_name_H-M 'P 1'
_symmetry_Int_Tables_number 1
_symmetry_space_group_name_Hall 'P 1'
_cell_length_a 5.5287
_cell_length_b 5.5287
_cell_length_c 5.5287
_cell_angle_alpha 90.00
_cell_angle_beta 90.00
_cell_angle_gamma 90.00
loop_
_atom_site_label
_atom_site_type_symbol
_atom_site_fract_x
_atom_site_fract_y
_atom_site_fract_z
Nd1 Nd 0.0000 0.0000 0.5000
Nd2 Nd 0.0000 0.5000 0.0000
Nd3 Nd 0.5000 0.0000 0.0000
Sm1 Sm 0.5000 0.5000 0.5000
Tc1 Tc 0.0000 0.0000 0.0000
# mass density = 6.7 g/cm3
# E above lowest polymorph = 175 meV per atom
# formation energy from the elements = 208 meV/atom

***

# Nd2SmTc | Alexandria | PBE | optimized geometry
data_Nd2SmTc
_symmetry_space_group_name_H-M 'P 1'
_symmetry_Int_Tables_number 1
_symmetry_space_group_name_Hall 'P 1'
_cell_length_a 7.4976
_cell_length_b 9.6094
_cell_length_c 6.5002
_cell_angle_alpha 90.00
_cell_angle_beta 90.00
_cell_angle_gamma 90.00
loop_
_atom_site_label
_atom_site_type_symbol
_atom_site_fract_x
_atom_site_fract_y
_atom_site_fract_z
Nd1 Nd 0.1767 0.0657 0.1667
Nd2 Nd 0.1767 0.4343 0.1667
Nd3 Nd 0.3233 0.5657 0.6667
Nd4 Nd 0.3233 0.9343 0.6667
Nd5 Nd 0.6767 0.0657 0.3333
Nd6 Nd 0.6767 0.4343 0.3333
Nd7 Nd 0.8233 0.5657 0.8333
Nd8 Nd 0.8233 0.9343 0.8333
Sm1 Sm 0.0474 0.2500 0.6360
Sm2 Sm 0.4526 0.7500 0.1360
Sm3 Sm 0.5474 0.2500 0.8640
Sm4 Sm 0.9526 0.7500 0.3640
Tc1 Tc 0.1091 0.7500 0.9645
Tc2 Tc 0.3909 0.2500 0.4645
Tc3 Tc 0.6091 0.7500 0.5355
Tc4 Tc 0.8909 0.2500 0.0355
# mass density = 7.6 g/cm3
# E above lowest polymorph = 0 meV per atom
# formation energy from the elements = 12 meV/atom

***

Q: Which formula does entry 3 have?
A: Nd2SmTc